DFT (GGA-PBE) results for a geometry-optimized Dy3Y12Cd structure.

Cell lengths 4.989, 4.989, 20.202 Å; angles 90.00, 90.00, 90.00 degrees
Fractional coordinates of all 16 atoms:
Dy 0.000 0.000 0.248
Dy 0.000 0.000 0.500
Dy 0.000 0.000 0.752
Y 0.500 0.500 0.000
Y 0.500 0.500 0.244
Y 0.500 0.500 0.500
Y 0.500 0.500 0.756
Y 0.500 0.000 0.121
Y 0.500 0.000 0.373
Y 0.500 0.000 0.627
Y 0.500 0.000 0.879
Y 0.000 0.500 0.121
Y 0.000 0.500 0.373
Y 0.000 0.500 0.627
Y 0.000 0.500 0.879
Cd 0.000 0.000 0.000

Computed properties:
ΔH_f (0 K) ... 0.00 eV per atom
Symmetry ... P4/mmm, No. 123
Total magnetic moment ... 0.00 μB per formula unit
Energy ... -92.33 eV/cell



DFT (GGA-PBE) results for a geometry-optimized Zr2Cr2Os structure.

Cell lengths 3.209, 3.209, 8.672 Å; angles 79.34, 79.34, 90.00 degrees
Fractional coordinates of all 5 atoms:
Cr 0.750 0.250 0.500
Cr 0.250 0.750 0.500
Os 0.000 0.000 0.000
Zr 0.399 0.399 0.203
Zr 0.601 0.601 0.797

Computed properties:
ΔH_f (0 K) ... 0.20 eV per atom
Symmetry ... I4/mmm, No. 139
Excess energy over the best structure of this formula in the dataset ... 0.1610 eV/atom
Total magnetic moment ... 0.00 μB per formula unit
Energy ... -46.58 eV/cell